Record 1
Ta2CdPb GGA-PBE optimized geometry; ρ = 13.75 Mg/m³; energy = -6.5297 eV/atom; formation energy = 12.7 kcal/mol of atoms; space group = R-3m
1.0
1.544 0.892 9.963
-1.544 0.892 9.963
0.000 -1.783 9.963
Ta Cd Pb
2 1 1
direct
0.249 0.249 0.249
0.751 0.751 0.751
0.500 0.500 0.500
0.000 0.000 0.000

***

Record 2
Er4AgSn GGA-PBE optimized geometry; ρ = 8.37 Mg/m³; energy = -4.3649 eV/atom; formation energy = -4.2 kcal/mol of atoms; space group = Cmc2_1
1.0
2.665 -10.431 0.000
2.665 10.431 0.000
0.000 0.000 6.396
Er Ag Sn
8 2 2
direct
0.058 0.942 0.500
0.204 0.796 0.256
0.204 0.796 0.746
0.376 0.624 0.502
0.624 0.376 0.002
0.796 0.204 0.246
0.796 0.204 0.756
0.942 0.058 0.000
0.078 0.922 0.000
0.922 0.078 0.500
0.345 0.655 0.001
0.655 0.345 0.501

***

Record 3
AlVGe2Mo GGA-PBE optimized geometry; ρ = 5.23 Mg/m³; energy = -5.7752 eV/atom; formation energy = 18.7 kcal/mol of atoms; space group = P4/mmm
1.0
4.696 0.000 0.000
0.000 4.696 0.000
0.000 0.000 4.593
Al V Ge Mo
1 1 2 1
direct
0.000 0.000 0.000
0.500 0.500 0.500
0.000 0.500 0.500
0.500 0.000 0.500
0.500 0.500 0.000

***

Record 4
SmZnCo2 GGA-PBE optimized geometry; ρ = 8.71 Mg/m³; energy = -5.2102 eV/atom; formation energy = -3.7 kcal/mol of atoms; space group = P6_3/mmc
1.0
5.133 0.000 0.000
-2.566 4.445 0.000
0.000 0.000 16.721
Sm Zn Co
6 6 12
direct
0.333 0.667 0.045
0.333 0.667 0.250
0.333 0.667 0.455
0.667 0.333 0.545
0.667 0.333 0.750
0.667 0.333 0.955
0.000 0.000 0.000
0.000 0.000 0.250
0.000 0.000 0.500
0.000 0.000 0.750
0.333 0.667 0.750
0.667 0.333 0.250
0.168 0.336 0.627
0.168 0.336 0.873
0.168 0.832 0.627
0.168 0.832 0.873
0.336 0.168 0.127
0.336 0.168 0.373
0.664 0.832 0.627
0.664 0.832 0.873
0.832 0.168 0.127
0.832 0.168 0.373
0.832 0.664 0.127
0.832 0.664 0.373

***

Record 5
RbPuAu2Se4 GGA-PBE optimized geometry; ρ = 6.88 Mg/m³; energy relative to the elements, uncorrected = -0.552 eV per atom; energy = -5.0261 eV/atom; space group = I222
1.0
-2.997 4.369 4.792
2.997 -4.369 4.792
2.997 4.369 -4.792
Rb Pu Au Se
1 1 2 4
direct
0.000 0.000 0.000
0.500 0.500 0.000
0.347 0.847 0.500
0.653 0.153 0.500
0.121 0.115 0.599
0.484 0.885 0.006
0.516 0.522 0.401
0.879 0.478 0.994

***

Record 6
LiThZr GGA-PBE optimized geometry; ρ = 7.24 Mg/m³; E above lowest polymorph = 0 meV/atom; energy = -5.7730 eV/atom; formation energy = 4.3 kcal/mol of atoms; space group = I4mm
1.0
-1.630 1.630 7.122
1.630 -1.630 7.122
1.630 1.630 -7.122
Li Th Zr
1 1 1
direct
0.000 0.000 0.000
0.322 0.322 0.000
0.654 0.654 0.000